Entry 1:
17
Lattice="-3.689 -4.004 1.360 4.630 -1.313 -2.886 5.884 -1.918 10.314" Properties=species:S:1:pos:R:3 comment="Nd2Ga6Pt9 (GGA-PBE, optimized geometry)" e_form_ev_per_atom=-0.773 space_group=P6/mmm energy_ev_per_atom=-5.60 pbc="T T T"
Nd 4.083 -1.331 7.156
Nd 1.802 -0.587 3.158
Ga 1.857 -2.210 -1.471
Ga -0.916 -3.107 -0.055
Ga 5.765 -3.484 5.378
Ga 2.992 -4.381 6.794
Ga 1.061 -3.752 3.409
Ga 3.834 -2.855 1.994
Pt 3.047 -3.597 9.253
Pt 7.206 -2.251 7.130
Pt 5.362 -4.253 7.810
Pt -0.851 -2.326 2.421
Pt 3.308 -0.980 0.298
Pt 1.464 -2.983 0.978
Pt 1.098 -2.961 5.837
Pt 5.257 -1.616 3.714
Pt 3.413 -3.618 4.394



Entry 2:
11
Lattice="5.056 0.000 0.000 0.000 6.878 0.311 -2.528 -2.544 9.228" Properties=species:S:1:pos:R:3 comment="Nd8Ga2Pt (GGA-PBE, optimized geometry)" e_form_ev_per_atom=-0.400 space_group=C2/m energy_ev_per_atom=-4.97 pbc="T T T"
Nd 0.000 1.638 7.684
Nd 2.528 5.964 3.169
Nd 2.528 3.223 5.547
Nd 2.528 -0.912 8.883
Nd 0.000 1.111 3.992
Nd 0.000 -1.629 6.370
Nd 2.528 2.697 1.855
Nd 0.000 5.247 0.656
Ga 2.528 0.113 5.884
Ga 0.000 4.222 3.655
Pt 2.528 0.000 0.000



Entry 3:
14
Lattice="-0.970 3.321 2.582 -8.118 1.314 -1.132 -3.815 -3.397 6.544" Properties=species:S:1:pos:R:3 comment="Nd3Ga8Pt3 (GGA-PBE, optimized geometry)" e_form_ev_per_atom=-0.766 space_group=Immm energy_ev_per_atom=-4.81 pbc="T T T"
Nd -6.452 0.619 3.997
Nd -2.948 2.346 3.092
Nd -9.956 -1.109 4.901
Ga -3.846 -0.018 5.795
Ga -9.058 1.255 2.199
Ga -6.266 2.631 1.478
Ga -6.638 -1.394 6.515
Ga -9.336 1.986 4.763
Ga -3.568 -0.749 3.231
Ga -8.215 0.759 6.762
Ga -4.689 0.478 1.232
Pt -0.485 1.660 1.291
Pt -7.177 0.283 0.547
Pt -4.757 -2.367 4.865



Entry 4:
8
Lattice="4.162 0.000 0.000 0.000 6.536 0.000 -2.081 -3.268 7.164" Properties=species:S:1:pos:R:3 comment="Nd3GaPt4 (GGA-PBE, optimized geometry)" e_form_ev_per_atom=-0.974 space_group=Immm energy_ev_per_atom=-6.16 pbc="T T T"
Nd 0.000 0.000 2.734
Nd 2.081 3.268 4.430
Nd 0.000 3.268 0.000
Ga 2.081 0.000 0.000
Pt 0.000 -1.371 5.482
Pt 2.081 4.639 1.682
Pt 2.081 1.897 1.682
Pt 0.000 1.371 5.482



Entry 5:
8
Lattice="-3.831 -1.314 -1.744 2.996 -3.324 -4.076 -1.735 -4.164 6.948" Properties=species:S:1:pos:R:3 comment="Nd2GaPt (GGA-PBE, optimized geometry)" e_form_ev_per_atom=-0.846 space_group=P2_1/m energy_ev_per_atom=-5.50 pbc="T T T"
Nd -2.903 -3.460 0.621
Nd 0.333 -5.342 0.506
Nd 1.283 -3.192 -3.201
Nd -3.853 -5.610 4.328
Ga -1.376 -4.454 -1.983
Ga -1.194 -4.348 3.111
Pt -0.256 -2.386 -0.427
Pt -2.314 -6.416 1.555



Entry 6:
28
Lattice="7.149 -0.012 -3.023 -4.187 6.536 -0.005 0.249 0.197 10.658" Properties=species:S:1:pos:R:3 comment="Nd2Ga9Pt3 (GGA-PBE, optimized geometry)" e_form_ev_per_atom=-0.697 space_group=C2/c energy_ev_per_atom=-4.62 pbc="T T T"
Nd 1.529 1.763 6.975
Nd 1.683 4.959 0.655
Nd 4.883 3.952 4.982
Nd -1.672 2.769 2.647
Ga -0.334 6.143 6.578
Ga 3.545 0.578 1.052
Ga 1.972 4.815 5.974
Ga 1.239 1.906 1.656
Ga 0.753 4.368 8.483
Ga 2.458 2.353 -0.853
Ga -0.499 3.544 5.483
Ga 3.710 3.177 2.146
Ga 5.913 0.940 5.354
Ga -2.701 5.781 2.275
Ga -2.984 6.581 9.573
Ga 6.196 0.140 -1.944
Ga 3.245 1.345 4.386
Ga -0.034 5.376 3.243
Ga 2.862 5.716 3.479
Ga 0.350 1.005 4.150
Ga 4.537 2.171 7.470
Ga -1.325 4.550 0.160
Pt 3.575 -0.006 -1.512
Pt 1.606 3.361 3.815
Pt 5.401 1.187 2.780
Pt -2.190 5.534 4.849
Pt -0.202 2.210 -0.497
Pt 3.413 4.511 8.126



Entry 7:
11
Lattice="-0.579 5.685 -3.966 -1.097 -4.140 -5.773 -6.348 -1.597 2.352" Properties=species:S:1:pos:R:3 comment="Nd7Ga2Pt2 (GGA-PBE, optimized geometry)" e_form_ev_per_atom=-0.492 space_group=Cmmm energy_ev_per_atom=-5.18 pbc="T T T"
Nd -3.465 -1.896 -0.355
Nd -1.096 -0.201 -6.226
Nd -4.561 1.843 -7.033
Nd -6.929 0.148 -1.162
Nd 0.000 0.000 0.000
Nd -4.275 -1.016 -5.073
Nd -3.750 0.963 -2.315
Ga -6.372 1.365 -4.244
Ga -1.653 -1.419 -3.144
Pt -3.359 -0.580 -7.897
Pt -4.666 0.527 0.509



Entry 8:
18
Lattice="3.921 0.000 0.000 -1.961 6.579 0.000 0.000 0.000 13.130" Properties=species:S:1:pos:R:3 comment="NdGa3Pt5 (GGA-PBE, optimized geometry)" e_form_ev_per_atom=-0.713 space_group=Cmcm energy_ev_per_atom=-5.61 pbc="T T T"
Nd 1.961 4.947 9.847
Nd 0.000 1.631 3.282
Ga 0.000 4.973 12.661
Ga 1.961 4.932 3.282
Ga 0.000 4.973 7.033
Ga 1.961 1.606 6.097
Ga 0.000 1.647 9.847
Ga 1.961 1.606 0.468
Pt 1.961 3.957 5.570
Pt 0.000 2.621 12.135
Pt 0.000 0.000 6.565
Pt 0.000 0.000 0.000
Pt 0.000 6.079 1.944
Pt 1.961 0.500 11.186
Pt 1.961 0.500 8.509
Pt 1.961 3.957 0.995
Pt 0.000 2.621 7.560
Pt 0.000 6.079 4.621